The following is a DFT calculation (PBE) of an optimized crystal structure of KBe2As.

For the density of states at the Fermi level, the calculation gives 2.9 states/eV/f.u.

The structure belongs to space group P4/mmm (No. 123); the cell edges are 3.293, 3.293 and 7.324 Å and the angles 90.00°, 90.00° and 90.00°. The asymmetric unit holds K at (0.000, 0.000, 0.000), Be at (0.500, 0.500, 0.359) and As at (0.000, 0.000, 0.500).

***

The following is a DFT calculation (PBE) of an optimized crystal structure of KBe2As.

The structure belongs to space group Pm (No. 6); the cell edges are 3.667, 3.648 and 6.589 Å and the angles 90.00°, 98.63° and 90.00°. The asymmetric unit holds K at (0.000, 0.000, 0.000), Be at (0.459, 0.000, 0.490), Be at (0.853, 0.500, 0.478) and As at (0.407, 0.500, 0.674).

***

The following is a DFT calculation (PBE) of an optimized crystal structure of KBeAs2.

For the density of states at the Fermi level, the calculation gives 0.7 states/eV/f.u.

The structure belongs to space group Pnma (No. 62); the cell edges are 25.911, 3.706 and 3.795 Å and the angles 90.00°, 90.00° and 90.00°. The asymmetric unit holds K at (0.118, 0.250, 0.223), Be at (0.248, 0.750, 0.223), As at (0.000, 0.250, 0.726) and As at (0.196, 0.750, 0.723).

***

The records above yield E_form values of 2.419, 0.458, -1.187 eV/f.u., respectively.
The records above yield VASP energy values of -10.8, -12.7, -61.2 eV for the cell shown, respectively.
The records above yield mass density values of 2.8, 2.5, 3.6 g/cm³, respectively.